(1)
This record from the Alexandria database describes an optimized crystal structure of HfP2Ru3. The functional is PBE.

a = 7.9701 Å, b = 7.9701 Å, c = 9.4652 Å
α = 108.61°, β = 108.61°, γ = 27.97°
Sites, in units of the cell vectors:
Hf  0.0000  0.0000  0.0000
Hf  0.1583  0.1583  0.6849
Hf  0.8417  0.8417  0.3151
P  0.1956  0.1956  0.1320
P  0.3630  0.3630  0.5503
P  0.4550  0.4550  0.2232
P  0.5450  0.5450  0.7768
P  0.6370  0.6370  0.4497
P  0.8044  0.8044  0.8680
Ru  0.0339  0.0339  0.3150
Ru  0.2196  0.2196  0.3888
Ru  0.3184  0.3184  0.0431
Ru  0.3791  0.3791  0.8059
Ru  0.5000  0.5000  0.5000
Ru  0.6209  0.6209  0.1941
Ru  0.6816  0.6816  0.9569
Ru  0.7804  0.7804  0.6112
Ru  0.9661  0.9661  0.6849

Results
**E**: -0.6470 Ry/atom
**ΔE_f**: -407 kJ/mol of formula units
**N(E_F)**: 9.824 states/eV/cell

(2)
This record from the Alexandria database describes an optimized crystal structure of AcNdNO. The functional is PBE.

a = 4.7148 Å, b = 4.7148 Å, c = 9.1823 Å
α = 90.00°, β = 90.00°, γ = 90.00°
Sites, in units of the cell vectors:
Ac  0.2500  0.2500  0.1072
Ac  0.7500  0.7500  0.8928
Nd  0.2500  0.7500  0.5000
Nd  0.7500  0.2500  0.5000
N  0.2500  0.2500  0.5617
N  0.7500  0.7500  0.4383
O  0.2500  0.7500  0.0000
O  0.7500  0.2500  0.0000

Results
**Formation energy (no corrections)**: -37.63 kcal/mol of atoms
**E**: -0.5271 Ry/atom
**N(E_F)**: 2.854 states/eV/cell

(3)
This record from the Alexandria database describes an optimized crystal structure of ZnRe2TcTe. The functional is PBE.

a = 4.7607 Å, b = 4.7607 Å, c = 5.0803 Å
α = 90.00°, β = 90.00°, γ = 90.00°
Sites, in units of the cell vectors:
Zn  0.0000  0.0000  0.0000
Re  0.0000  0.5000  0.5000
Re  0.5000  0.0000  0.5000
Tc  0.5000  0.5000  0.5000
Te  0.5000  0.5000  0.0000

Results
**Offset from the most stable computed form**: 0.000 eV/atom
**Formation energy (no corrections)**: 43.00 kcal/mol of atoms
**E**: -0.4462 Ry/atom
**N(E_F)**: 5.951 states/eV/cell